Density functional theory data (PBEsol) for SiIBrN2 after structural relaxation.

Properties
- E (eV/atom) = -4.37
- SG = P4/mmm (123)
- formation energy without anion corrections (eV/f.u.) = 4.57

The structure in extended XYZ format:
```
5
Lattice="-2.230 -2.991 -0.109 2.884 -2.112 -1.072 1.314 -1.194 5.892" Properties=species:S:1:pos:R:3 pbc="T T T"
N -1.115 -1.495 -0.054
N 1.442 -1.056 -0.536
Si 0.000 0.000 0.000
I 0.657 -0.597 2.946
Br 0.985 -3.148 2.356
```

Density functional theory data (PBEsol) for Gd2PbS4 after structural relaxation.

Properties
- E (eV/atom) = -8.86
- SG = I-42d (122)
- formation energy without anion corrections (eV/f.u.) = -11.58

The structure in extended XYZ format:
```
14
Lattice="-0.053 6.332 3.621 2.532 -5.294 4.334 4.312 0.600 -5.853" Properties=species:S:1:pos:R:3 pbc="T T T"
Gd 2.901 1.501 2.224
Gd 4.714 3.341 -0.797
Gd 2.696 -1.443 4.888
Gd 3.270 -0.122 -2.111
S 4.757 -2.682 -1.676
S 1.730 4.193 2.802
S 5.018 -0.229 3.442
S 2.951 1.537 4.984
S 1.612 -1.001 2.388
S 4.243 2.248 -3.288
S 4.775 0.493 0.120
S 2.077 1.994 -0.364
Pb 4.041 -2.087 1.229
Pb 0.000 0.000 0.000
```

Density functional theory data (PBEsol) for AlSe2N after structural relaxation.

Properties
- E (eV/atom) = -4.09
- SG = Fm-3m (225)
- formation energy without anion corrections (eV/f.u.) = 3.95

The structure in extended XYZ format:
```
4
Lattice="4.395 0.000 0.000 2.198 3.806 0.000 2.198 1.269 3.589" Properties=species:S:1:pos:R:3 pbc="T T T"
Se 2.198 1.269 0.897
Se 6.593 3.806 2.691
Al 4.395 2.537 1.794
N 0.000 0.000 0.000
```

Which formula does entry 2 have? Gd2PbS4

Look up the E of the third one. -4.09 eV/atom

Copy entry 1 word for word.
Density functional theory data (PBEsol) for SiIBrN2 after structural relaxation.

Properties
- E (eV/atom) = -4.37
- SG = P4/mmm (123)
- formation energy without anion corrections (eV/f.u.) = 4.57

The structure in extended XYZ format:
```
5
Lattice="-2.230 -2.991 -0.109 2.884 -2.112 -1.072 1.314 -1.194 5.892" Properties=species:S:1:pos:R:3 pbc="T T T"
N -1.115 -1.495 -0.054
N 1.442 -1.056 -0.536
Si 0.000 0.000 0.000
I 0.657 -0.597 2.946
Br 0.985 -3.148 2.356
```